Entry 1:
This record from Alexandria describes an optimized crystal structure of NaNbHgC2. The functional is PBE-GGA.

## Properties
N(E_F): 4.180 states/eV/cell
Energy of formation from the pure elements: 2.879 eV/atom
Space-group type: P4/mmm (123)

abc: 4.4217 5.4649 4.4217
angles: 90.00 90.00 90.00
Fractional coordinates of all 5 atoms:
Nb 0.0000 0.5000 0.0000
C 0.0000 0.0000 0.5000
Na 0.5000 0.5000 0.5000
Hg 0.0000 0.0000 0.0000
C 0.5000 0.0000 0.0000

=====

Entry 2:
This record from Alexandria describes an optimized crystal structure of NaNiHg2C. The functional is PBE-GGA.

## Properties
N(E_F): 6.758 states/eV/cell
Energy of formation from the pure elements: 1.967 eV/atom
Space-group type: P4/mmm (123)

abc: 5.1456 4.2915 5.1456
angles: 90.00 90.00 90.00
Fractional coordinates of all 5 atoms:
Na 0.0000 0.0000 0.0000
Ni 0.5000 0.5000 0.5000
C 0.0000 0.5000 0.0000
Hg 0.5000 0.0000 0.0000
Hg 0.0000 0.0000 0.5000

=====

Entry 3:
This record from Alexandria describes an optimized crystal structure of NaHg2CO. The functional is PBE-GGA.

## Properties
Uncorrected formation energy: 76.8 kJ per mole of atoms
N(E_F): 1.391 states/eV/cell
Space-group type: P4/mmm (123)

abc: 4.4593 4.4168 4.4593
angles: 90.00 90.00 90.00
Fractional coordinates of all 5 atoms:
Na 0.5000 0.5000 0.5000
Hg 0.5000 0.0000 0.0000
O 0.0000 0.5000 0.0000
C 0.0000 0.0000 0.0000
Hg 0.0000 0.0000 0.5000